5
Lattice="4.578 0.000 0.000 0.000 4.578 0.000 0.000 0.000 6.396" Properties=species:S:1:pos:R:3 comment="TlFe2SeF GGA+U relaxed" magmom_total_mub_per_cell=6.1 mass_density_g_cm3=5.13 dft_energy_ev_per_atom=-3.696 pbc="T T T"
Tl 0.000 0.000 0.000
Fe 0.000 2.289 3.198
Fe 2.289 0.000 3.198
Se 2.289 2.289 3.198
F 2.289 2.289 0.000